Computed, not measured: DyY2TmSe6 after structural relaxation at the PBE level of DFT.

formation energy (no corrections): -1855 meV/atom
D(E_F): 0.0 states/eV per cell
total magnetic moment: 0.0 μB/f.u.

```
DyY2TmSe6
1.0
7.1821 0.0005 0.0004
3.5914 6.2196 0.0003
3.5911 2.0737 6.4700
Dy Y Tm Se
1 2 1 6
Cartesian
10.7732 6.2203 3.5254 Dy
7.1826 4.1469 2.9443 Y
3.5912 2.0740 6.1977 Y
3.5911 2.0731 0.2659 Tm
6.0435 1.8893 1.6311 Se
5.7959 6.2611 1.6308 Se
9.7074 4.2902 1.6315 Se
8.2843 6.0288 4.8747 Se
8.2610 2.2512 4.8750 Se
5.0015 4.1608 4.8749 Se
```